Entry 1:
# PBE-GGA Ba2AlTlCu2O7, optimized geometry
data_Ba2AlTlCu2O7
_symmetry_space_group_name_H-M 'P 1'
_symmetry_Int_Tables_number 1
_symmetry_space_group_name_Hall 'P 1'
_cell_length_a 3.7626
_cell_length_b 3.7626
_cell_length_c 12.7985
_cell_angle_alpha 90.00
_cell_angle_beta 90.00
_cell_angle_gamma 90.00
loop_
_atom_site_label
_atom_site_fract_x
_atom_site_fract_y
_atom_site_fract_z
Ba1 0.0000 0.0000 0.2132
Ba2 0.0000 0.0000 0.7868
Al1 0.0000 0.0000 0.5000
Tl1 0.5000 0.5000 0.0000
Cu1 0.5000 0.5000 0.3838
Cu2 0.5000 0.5000 0.6162
O1 0.0000 0.0000 0.0000
O2 0.0000 0.5000 0.4027
O3 0.0000 0.5000 0.5973
O4 0.5000 0.0000 0.4027
O5 0.5000 0.0000 0.5973
O6 0.5000 0.5000 0.1664
O7 0.5000 0.5000 0.8336
# formation energy without anion corrections	-1492.7	meV/atom
# uncorrected energy	-5.56	eV/atom


Entry 2:
# PBE-GGA Pm4SiPSe2, optimized geometry
data_Pm4SiPSe2
_symmetry_space_group_name_H-M 'P 1'
_symmetry_Int_Tables_number 1
_symmetry_space_group_name_Hall 'P 1'
_cell_length_a 7.2575
_cell_length_b 4.1915
_cell_length_c 7.3213
_cell_angle_alpha 90.00
_cell_angle_beta 109.26
_cell_angle_gamma 90.00
loop_
_atom_site_label
_atom_site_fract_x
_atom_site_fract_y
_atom_site_fract_z
Pm1 0.2437 0.0000 0.2333
Pm2 0.2537 0.5000 0.7634
Pm3 0.7463 0.5000 0.2366
Pm4 0.7563 0.0000 0.7667
Si1 0.5000 0.0000 0.0000
P1 0.0000 0.5000 0.0000
Se1 0.0000 0.0000 0.5000
Se2 0.5000 0.5000 0.5000
# formation energy without anion corrections	-1564.6	meV/atom
# uncorrected energy	-6.17	eV/atom


Question: uncorrected energy of number 1 (Ba2AlTlCu2O7)?
Answer: -5.56 eV/atom